## NaCaTeI2 (PBE)

Data for NaCaTeI2 after structural relaxation.

Lattice parameters (Å, degrees): 6.1428 6.1428 6.0971 90.00 90.00 90.00
With the nearest neighbours (Å) after each atom.
Positions (direct):
Na: 0.0000 0.0000 0.0000  8 I 4.33, 4 Te 4.34
Ca: 0.5000 0.5000 0.5000  2 Te 3.05, 4 I 3.07
Te: 0.5000 0.5000 0.0000  2 Ca 3.05
I: 0.0000 0.5000 0.5000  2 Ca 3.07
I: 0.5000 0.0000 0.5000  2 Ca 3.07

## Properties
- ΔE_f (raw): -4.46 eV/f.u.
- Crystal system: tetragonal
- Calculated volume: 46.01 Å³ per atom
- N(E_F): 0.865 states/eV per atom
- Excess energy over the best structure of this formula in the dataset: 0 meV/atom

## Na3CaTl3I8 (PBE)

Data for Na3CaTl3I8 after structural relaxation.

Lattice parameters (Å, degrees): 9.8064 9.8064 9.8064 57.44 57.44 57.44
With the nearest neighbours (Å) after each atom.
Positions (direct):
Na: 0.0000 0.5000 0.5000  6 I 3.27-3.29
Na: 0.5000 0.0000 0.5000  6 I 3.27-3.29
Na: 0.5000 0.5000 0.0000  6 I 3.27-3.29
Ca: 0.0000 0.0000 0.0000  6 I 3.17
Tl: 0.0000 0.0000 0.5000  6 I 3.53-3.54
Tl: 0.0000 0.5000 0.0000  6 I 3.53-3.54
Tl: 0.5000 0.0000 0.0000  6 I 3.53-3.54
I: 0.2335 0.2335 0.7503  1 Ca 3.17, 2 Na 3.29, 2 Tl 3.53
I: 0.2335 0.7503 0.2335  1 Ca 3.17, 2 Na 3.29, 2 Tl 3.53
I: 0.2497 0.7665 0.7665  1 Ca 3.17, 2 Na 3.29, 2 Tl 3.53
I: 0.2592 0.2592 0.2592  3 Na 3.27, 3 Tl 3.54
I: 0.7408 0.7408 0.7408  3 Na 3.27, 3 Tl 3.54
I: 0.7503 0.2335 0.2335  1 Ca 3.17, 2 Na 3.29, 2 Tl 3.53
I: 0.7665 0.2497 0.7665  1 Ca 3.17, 2 Na 3.29, 2 Tl 3.53
I: 0.7665 0.7665 0.2497  1 Ca 3.17, 2 Na 3.29, 2 Tl 3.53

## Properties
- ΔE_f (raw): -16.37 eV/f.u.
- Crystal system: trigonal
- Calculated volume: 41.85 Å³ per atom
- N(E_F): 0.000 states/eV per atom

## NaCaTmI6 (PBE)

Data for NaCaTmI6 after structural relaxation.

Lattice parameters (Å, degrees): 7.8182 7.8182 14.4418 90.00 90.00 120.00
With the nearest neighbours (Å) after each atom.
Positions (direct):
Na: 0.0000 0.0000 0.0000  6 I 3.33
Na: 0.0000 0.0000 0.5000  6 I 3.33
Ca: 0.3333 0.6667 0.2500  6 I 3.15
Ca: 0.6667 0.3333 0.7500  6 I 3.15
Tm: 0.3333 0.6667 0.7500  6 I 3.01
Tm: 0.6667 0.3333 0.2500  6 I 3.01
I: 0.0134 0.3588 0.6292  1 Tm 3.01, 1 Ca 3.15, 1 Na 3.33
I: 0.0134 0.6546 0.8708  1 Tm 3.01, 1 Ca 3.15, 1 Na 3.33
I: 0.3454 0.3588 0.8708  1 Tm 3.01, 1 Ca 3.15, 1 Na 3.33
I: 0.3454 0.9866 0.6292  1 Tm 3.01, 1 Ca 3.15, 1 Na 3.33
I: 0.3588 0.0134 0.1292  1 Tm 3.01, 1 Ca 3.15, 1 Na 3.33
I: 0.3588 0.3454 0.3708  1 Tm 3.01, 1 Ca 3.15, 1 Na 3.33
I: 0.6412 0.6546 0.6292  1 Tm 3.01, 1 Ca 3.15, 1 Na 3.33
I: 0.6412 0.9866 0.8708  1 Tm 3.01, 1 Ca 3.15, 1 Na 3.33
I: 0.6546 0.0134 0.3708  1 Tm 3.01, 1 Ca 3.15, 1 Na 3.33
I: 0.6546 0.6412 0.1292  1 Tm 3.01, 1 Ca 3.15, 1 Na 3.33
I: 0.9866 0.3454 0.1292  1 Tm 3.01, 1 Ca 3.15, 1 Na 3.33
I: 0.9866 0.6412 0.3708  1 Tm 3.01, 1 Ca 3.15, 1 Na 3.33

## Properties
- ΔE_f (raw): -12.75 eV/f.u.
- Crystal system: trigonal
- Calculated volume: 42.47 Å³ per atom
- N(E_F): 0.000 states/eV per atom

## NaCaUI6 (PBE)

Data for NaCaUI6 after structural relaxation.

Lattice parameters (Å, degrees): 7.9246 7.9246 14.6293 90.00 90.00 120.00
With the nearest neighbours (Å) after each atom.
Positions (direct):
Na: 0.0000 0.0000 0.0000  6 I 3.33
Na: 0.0000 0.0000 0.5000  6 I 3.33
Ca: 0.3333 0.6667 0.2500  6 I 3.15
Ca: 0.6667 0.3333 0.7500  6 I 3.15
U: 0.3333 0.6667 0.7500  6 I 3.14
U: 0.6667 0.3333 0.2500  6 I 3.14
I: 0.0013 0.3485 0.6275  1 U 3.14, 1 Ca 3.15, 1 Na 3.33
I: 0.0013 0.6528 0.8725  1 U 3.14, 1 Ca 3.15, 1 Na 3.33
I: 0.3472 0.3485 0.8725  1 U 3.14, 1 Ca 3.15, 1 Na 3.33
I: 0.3472 0.9987 0.6275  1 U 3.14, 1 Ca 3.15, 1 Na 3.33
I: 0.3485 0.0013 0.1275  1 U 3.14, 1 Ca 3.15, 1 Na 3.33
I: 0.3485 0.3472 0.3725  1 U 3.14, 1 Ca 3.15, 1 Na 3.33
I: 0.6515 0.6528 0.6275  1 U 3.14, 1 Ca 3.15, 1 Na 3.33
I: 0.6515 0.9987 0.8725  1 U 3.14, 1 Ca 3.15, 1 Na 3.33
I: 0.6528 0.0013 0.3725  1 U 3.14, 1 Ca 3.15, 1 Na 3.33
I: 0.6528 0.6515 0.1275  1 U 3.14, 1 Ca 3.15, 1 Na 3.33
I: 0.9987 0.3472 0.1275  1 U 3.14, 1 Ca 3.15, 1 Na 3.33
I: 0.9987 0.6515 0.3725  1 U 3.14, 1 Ca 3.15, 1 Na 3.33

## Properties
- ΔE_f (raw): -10.45 eV/f.u.
- Crystal system: trigonal
- Calculated volume: 44.20 Å³ per atom
- N(E_F): 0.006 states/eV per atom

## NaCaYI6 (PBE)

Data for NaCaYI6 after structural relaxation.

Lattice parameters (Å, degrees): 7.8526 7.8526 14.4752 90.00 90.00 120.00
With the nearest neighbours (Å) after each atom.
Positions (direct):
Na: 0.0000 0.0000 0.0000  6 I 3.33
Na: 0.0000 0.0000 0.5000  6 I 3.33
Ca: 0.3333 0.6667 0.2500  6 I 3.15
Ca: 0.6667 0.3333 0.7500  6 I 3.15
Y: 0.3333 0.6667 0.7500  6 I 3.05
Y: 0.6667 0.3333 0.2500  6 I 3.05
I: 0.0099 0.3562 0.6285  1 Y 3.05, 1 Ca 3.15, 1 Na 3.33
I: 0.0099 0.6537 0.8715  1 Y 3.05, 1 Ca 3.15, 1 Na 3.33
I: 0.3463 0.3562 0.8715  1 Y 3.05, 1 Ca 3.15, 1 Na 3.33
I: 0.3463 0.9901 0.6285  1 Y 3.05, 1 Ca 3.15, 1 Na 3.33
I: 0.3562 0.0099 0.1285  1 Y 3.05, 1 Ca 3.15, 1 Na 3.33
I: 0.3562 0.3463 0.3715  1 Y 3.05, 1 Ca 3.15, 1 Na 3.33
I: 0.6438 0.6537 0.6285  1 Y 3.05, 1 Ca 3.15, 1 Na 3.33
I: 0.6438 0.9901 0.8715  1 Y 3.05, 1 Ca 3.15, 1 Na 3.33
I: 0.6537 0.0099 0.3715  1 Y 3.05, 1 Ca 3.15, 1 Na 3.33
I: 0.6537 0.6438 0.1285  1 Y 3.05, 1 Ca 3.15, 1 Na 3.33
I: 0.9901 0.3463 0.1285  1 Y 3.05, 1 Ca 3.15, 1 Na 3.33
I: 0.9901 0.6438 0.3715  1 Y 3.05, 1 Ca 3.15, 1 Na 3.33

## Properties
- ΔE_f (raw): -12.88 eV/f.u.
- Crystal system: trigonal
- Calculated volume: 42.94 Å³ per atom
- N(E_F): 0.000 states/eV per atom

## CaNb2I (PBE)

Data for CaNb2I after structural relaxation.

Lattice parameters (Å, degrees): 12.1512 12.1512 12.1512 160.70 160.70 27.43
With the nearest neighbours (Å) after each atom.
Positions (direct):
Ca: 0.0000 0.0000 0.0000  4 I 2.88
Ca: 0.7500 0.2500 0.5000  4 I 2.88
Nb: 0.1242 0.6250 0.9992  4 Nb 2.88-2.89
Nb: 0.3750 0.3742 0.4992  4 Nb 2.88-2.89
Nb: 0.6258 0.1250 0.0008  4 Nb 2.88-2.89
Nb: 0.8750 0.8758 0.5008  4 Nb 2.88-2.89
I: 0.2500 0.7500 0.5000  4 Ca 2.88
I: 0.5000 0.5000 0.0000  4 Ca 2.88

## Properties
- ΔE_f (raw): 2.35 eV/f.u.
- Crystal system: tetragonal
- Calculated volume: 24.49 Å³ per atom
- N(E_F): 2.091 states/eV per atom
- Excess energy over the best structure of this formula in the dataset: 0 meV/atom

## CaNbI2 (PBE)

Data for CaNbI2 after structural relaxation.

Lattice parameters (Å, degrees): 10.0094 10.0094 10.0094 147.58 147.58 46.51
With the nearest neighbours (Å) after each atom.
Positions (direct):
Ca: 0.0000 0.0000 0.0000  4 I 3.09
Ca: 0.7500 0.2500 0.5000  4 I 3.09
Nb: 0.2500 0.7500 0.5000  4 I 2.98
Nb: 0.5000 0.5000 0.0000  4 I 2.98
I: 0.1464 0.6250 0.0214  2 Nb 2.98, 2 Ca 3.09
I: 0.3750 0.3964 0.5214  2 Nb 2.98, 2 Ca 3.09
I: 0.6036 0.1250 0.9786  2 Nb 2.98, 2 Ca 3.09
I: 0.8750 0.8536 0.4786  2 Nb 2.98, 2 Ca 3.09

## Properties
- ΔE_f (raw): 0.32 eV/f.u.
- Crystal system: tetragonal
- Calculated volume: 35.90 Å³ per atom
- N(E_F): 1.569 states/eV per atom
- Excess energy over the best structure of this formula in the dataset: 60 meV/atom

## Ca2NbI (PBE)

Data for Ca2NbI after structural relaxation.

Lattice parameters (Å, degrees): 5.6055 5.6055 5.6055 60.00 60.00 60.00
With the nearest neighbours (Å) after each atom.
Positions (direct):
Ca: 0.2500 0.2500 0.2500  4 Nb 3.43, 4 I 3.43
Ca: 0.7500 0.7500 0.7500  4 Nb 3.43, 4 I 3.43
Nb: 0.0000 0.0000 0.0000  8 Ca 3.43
I: 0.5000 0.5000 0.5000  8 Ca 3.43

## Properties
- ΔE_f (raw): 1.87 eV/f.u.
- Crystal system: cubic
- Calculated volume: 31.14 Å³ per atom
- N(E_F): 0.924 states/eV per atom
- Excess energy over the best structure of this formula in the dataset: 0 meV/atom

- Which formula does entry 4 have?
  NaCaUI6